[1]
{"formula": "HfFeHgBi", "functional": "PBE", "state": "relaxed", "lattice_angstrom": [[-0.323, -3.640, -3.296], [-4.263, -2.375, -0.633], [-2.588, 0.648, -4.136]], "species": ["Bi", "Fe", "Hf", "Hg"], "fractional_positions": [[0.000, 0.000, 0.000], [0.750, 0.750, 0.750], [0.500, 0.500, 0.500], [0.250, 0.250, 0.250]], "final_energy_ev_per_atom": -5.2451, "magmom_total_mub_per_fu": 1.40, "sg": "F-43m (216)", "crystal_system": "cubic"}


[2]
{"formula": "NiGe2", "functional": "PBE", "state": "relaxed", "lattice_angstrom": [[0.000, 3.709, 3.709], [3.709, 0.000, 3.709], [3.709, 3.709, 0.000]], "species": ["Ge", "Ge", "Ge", "Ge", "Ni", "Ni"], "fractional_positions": [[0.625, 0.625, 0.125], [0.625, 0.125, 0.625], [0.125, 0.625, 0.625], [0.625, 0.625, 0.625], [0.000, 0.000, 0.000], [0.250, 0.250, 0.250]], "final_energy_ev_per_atom": -4.2933, "magmom_total_mub_per_fu": 0.01, "sg": "Fd-3m (227)", "crystal_system": "cubic"}


[3]
{"formula": "PmZnSn6", "functional": "PBE", "state": "relaxed", "lattice_angstrom": [[4.301, 2.483, 3.326], [-4.301, 2.483, 3.326], [0.000, -4.966, 3.326]], "species": ["Pm", "Sn", "Sn", "Sn", "Sn", "Sn", "Sn", "Zn"], "fractional_positions": [[0.500, 0.500, 0.500], [0.751, 0.580, 0.025], [0.420, 0.975, 0.249], [0.975, 0.249, 0.420], [0.025, 0.751, 0.580], [0.580, 0.025, 0.751], [0.249, 0.420, 0.975], [0.000, 0.000, 0.000]], "final_energy_ev_per_atom": -3.8932, "magmom_total_mub_per_fu": 0.00, "sg": "R-3 (148)", "crystal_system": "trigonal"}


Q: Which formula does entry 3 have?
A: PmZnSn6


Q: What is the formula in the third record?
A: PmZnSn6